A plane-wave DFT calculation with GGA-PBE was carried out for a relaxed structure of Pr4NdSm6.

The formation energy is 285 meV/atom. As for the total magnetization: 0.0 μB per cell. For the density of states at the Fermi level, the calculation gives 15.8 states/eV per cell.

Lattice parameters (Å, degrees): 9.807 9.807 9.807 58.80 139.38 139.38
Fractional positions:
Pr (0.000, 0.014, 0.632)
Pr (0.000, 0.632, 0.014)
Nd (0.000, 0.000, 0.000)
Sm (0.000, 0.798, 0.446)
Sm (0.500, 0.500, 0.000)
Sm (0.351, 0.554, 0.554)
Sm (0.000, 0.446, 0.798)
Pr (0.381, 0.368, 0.368)
Sm (0.649, 0.202, 0.202)
Pr (0.619, 0.986, 0.986)
Sm (0.500, 0.000, 0.500)